(w)
First-principles (PBE-GGA) data for a relaxed structure of Au3Se5, as listed in Alexandria via LeMat-Bulk.

Lattice parameters (Å, degrees): 7.524 7.524 7.159 90.00 90.00 120.00
Atoms (fractional coordinates):
Au1 0.000 0.442 0.250
Au2 0.000 0.558 0.750
Au3 0.442 0.000 0.250
Au4 0.442 0.442 0.750
Au5 0.558 0.000 0.750
Au6 0.558 0.558 0.250
Se1 0.000 0.201 0.750
Se2 0.000 0.799 0.250
Se3 0.201 0.000 0.750
Se4 0.201 0.201 0.250
Se5 0.333 0.667 0.000
Se6 0.333 0.667 0.500
Se7 0.667 0.333 0.000
Se8 0.667 0.333 0.500
Se9 0.799 0.000 0.250
Se10 0.799 0.799 0.750

SG	P6_3/mcm, No. 193
total magnetic moment	0.00	Bohr magnetons per cell
crystal system	hexagonal
ρ	9.326	g/cm3


(x)
First-principles (PBE-GGA) data for a relaxed structure of Au3Se5, as listed in Alexandria via LeMat-Bulk.

Lattice parameters (Å, degrees): 9.067 9.067 3.749 90.00 90.00 132.84
Atoms (fractional coordinates):
Au1 0.000 0.000 0.000
Au2 0.250 0.750 0.500
Au3 0.750 0.250 0.500
Se1 0.000 0.500 0.000
Se2 0.245 0.245 0.500
Se3 0.500 0.000 0.000
Se4 0.500 0.500 0.000
Se5 0.755 0.755 0.500

SG	Cmmm, No. 65
total magnetic moment	0.00	Bohr magnetons per cell
crystal system	orthorhombic
ρ	7.243	g/cm3


Q: Which of them is the most stable? A: (x).